# 1
# GGA-PBE K2CaTl2, relaxed
# Raw total energy: -1.8264 eV per atom
# Energy of formation: -0.0406 eV/atom
# Volume: 420.58 Å³ per cell
# Energy relative to the lowest polymorph listed for this composition: 0 meV per atom
data_K2CaTl2
_symmetry_space_group_name_H-M 'P 4/m b m'
_symmetry_Int_Tables_number 127
_symmetry_space_group_name_Hall '-P 4 2ab'
_cell_length_a 8.350
_cell_length_b 8.350
_cell_length_c 6.033
_cell_angle_alpha 90.00
_cell_angle_beta 90.00
_cell_angle_gamma 90.00
loop_
_atom_site_label
_atom_site_type_symbol
_atom_site_fract_x
_atom_site_fract_y
_atom_site_fract_z
_atom_site_occupancy
K1 K 0.172 0.328 0.000 1
Ca1 Ca 0.000 0.000 0.500 1
Tl1 Tl 0.129 0.629 0.500 1

---

# 2
# GGA-PBE BaNa4Sr6, relaxed
# Raw total energy: -1.4564 eV per atom
# Energy of formation: 0.1154 eV/atom
# Volume: 1145.51 Å³ per cell
data_BaNa4Sr6
_symmetry_space_group_name_H-M 'I -4 2 m'
_symmetry_Int_Tables_number 121
_symmetry_space_group_name_Hall 'I -4 2'
_cell_length_a 9.137
_cell_length_b 9.137
_cell_length_c 13.722
_cell_angle_alpha 90.00
_cell_angle_beta 90.00
_cell_angle_gamma 90.00
loop_
_atom_site_label
_atom_site_type_symbol
_atom_site_fract_x
_atom_site_fract_y
_atom_site_fract_z
_atom_site_occupancy
Ba1 Ba 0.000 0.000 0.000 1
Na1 Na 0.149 0.149 0.435 1
Sr1 Sr 0.000 0.500 0.000 1
Sr2 Sr 0.197 0.197 0.721 1

---

# 3
# GGA-PBE Ho2ThZn6, relaxed
# Raw total energy: -3.0257 eV per atom
# Energy of formation: -0.3347 eV/atom
# Volume: 185.37 Å³ per cell
data_Ho2ThZn6
_symmetry_space_group_name_H-M 'P 6/m m m'
_symmetry_Int_Tables_number 191
_symmetry_space_group_name_Hall '-P 6 2'
_cell_length_a 7.8012
_cell_length_b 7.8012
_cell_length_c 3.5170
_cell_angle_alpha 90.00
_cell_angle_beta 90.00
_cell_angle_gamma 120.00
loop_
_atom_site_label
_atom_site_type_symbol
_atom_site_fract_x
_atom_site_fract_y
_atom_site_fract_z
_atom_site_occupancy
Ho1 Ho 0.3333 0.6667 0.0000 1
Th1 Th 0.0000 0.0000 0.0000 1
Zn1 Zn 0.0000 0.3379 0.5000 1